[1]
Material: Hf9NiW4
Method: DFT, PBE
State: optimized geometry

The space group is P6_3/mmc (No. 194) and the conventional cell measures 8.6944, 8.6944 and 8.5052 Å, with angles of 90.00, 90.00 and 120.00 degrees. The asymmetric unit holds Hf at (0.0850, 0.5425, 0.2500), Hf at (0.1996, 0.3992, 0.5580), Ni at (0.3333, 0.6667, 0.7500), W at (0.0000, 0.0000, 0.0000) and W at (0.1121, 0.2242, 0.2500).

For the theoretical density, the calculation gives 14.32 g/cm3. The density of states at the Fermi level is 23.46 states/eV/cell. As for the uncorrected energy: -299.078 eV for the cell shown.

---

[2]
Material: Tm2MgGaAu4
Method: DFT, PBE
State: optimized geometry

The space group is R-3m (No. 166, hexagonal axes) and the conventional cell measures 4.8340, 4.8340 and 23.7405 Å, with angles of 90.00, 90.00 and 120.00 degrees. The asymmetric unit holds Tm at (0.0000, 0.0000, 0.2463), Mg at (0.0000, 0.0000, 0.0000), Ga at (0.0000, 0.0000, 0.5000), Au at (0.0000, 0.0000, 0.1216) and Au at (0.0000, 0.0000, 0.3717).

For the theoretical density, the calculation gives 12.65 g/cm3. The density of states at the Fermi level is 10.94 states/eV/cell. As for the uncorrected energy: -97.684 eV for the cell shown.

---

[3]
Material: CuAg2I3
Method: DFT, PBE
State: optimized geometry

The space group is Cmc2_1 (No. 36) and the conventional cell measures 13.675, 7.894 and 7.434 Å, with angles of 90.00, 90.00 and 90.00 degrees. The asymmetric unit holds Cu at (0.000, 0.158, 0.000), Ag at (0.163, 0.331, 0.499), I at (0.000, 0.146, 0.645) and I at (0.157, 0.321, 0.113).

For the theoretical density, the calculation gives 5.46 g/cm3. The value obtained for the formation energy from raw total energies is -20.66 kJ per mole of atoms. As for the uncorrected energy: -62.934 eV for the cell shown.